Entry from the Alexandria database: B3TeS after structural relaxation (PBE).

Summary:
Theoretical density (g/cm³): 5.03
VASP energy (eV per formula unit): -19.3
V (A^3/atom): 12.7
Relative energy among the computed polymorphs (eV/atom): 0.000
Raw formation energy (eV/atom): 1.604

Unit cell a=3.9868 b=3.9868 c=3.9868 alpha=90.00 beta=90.00 gamma=90.00
Fractional coordinates of all 5 atoms:
S 0.0000 0.0000 0.0000
Te 0.5000 0.5000 0.5000
B 0.0000 0.5000 0.0000
B 0.0000 0.0000 0.5000
B 0.5000 0.0000 0.0000